## LaFeBr2 (PBE)

Data for an optimized crystal structure of LaFeBr2.

Output
**Uncorrected energy**: -4.57 eV/atom
**Calculated density**: 5.39 g/cm3
**DOS at the Fermi energy**: 3.8 states/eV/f.u.

Unit cell a=5.911 b=5.911 c=4.106 alpha=110.10 beta=110.10 gamma=109.06
Positions (direct):
La  0.000  0.000  0.000
Fe  0.500  0.500  0.000
Br  0.000  0.500  0.000
Br  0.500  0.000  0.000

***

## La2FeBr (PBE)

Data for an optimized crystal structure of La2FeBr.

Output
**Uncorrected energy**: -5.16 eV/atom
**Calculated density**: 6.60 g/cm3
**DOS at the Fermi energy**: 5.6 states/eV/f.u.

Unit cell a=6.603 b=6.603 c=6.603 alpha=142.91 beta=142.91 gamma=53.46
Positions (direct):
La  0.000  0.000  0.000
La  0.750  0.250  0.500
Fe  0.500  0.500  0.000
Br  0.250  0.750  0.500

***

## La2FeBr (PBE)

Data for an optimized crystal structure of La2FeBr.

Output
**Uncorrected energy**: -5.26 eV/atom
**Calculated density**: 6.52 g/cm3
**DOS at the Fermi energy**: 3.1 states/eV/f.u.

Unit cell a=5.458 b=5.458 c=5.458 alpha=133.44 beta=110.93 gamma=87.43
Positions (direct):
La  0.219  0.219  0.000
La  0.781  0.781  0.000
Fe  0.000  0.500  0.500
Br  0.500  0.000  0.500

***

## La2FeBr (PBE)

Data for an optimized crystal structure of La2FeBr.

Output
**Uncorrected energy**: -5.18 eV/atom
**Calculated density**: 6.70 g/cm3
**DOS at the Fermi energy**: 3.9 states/eV/f.u.

Unit cell a=5.254 b=5.254 c=5.254 alpha=60.00 beta=60.00 gamma=60.00
Positions (direct):
La  0.250  0.250  0.250
La  0.750  0.750  0.750
Fe  0.000  0.000  0.000
Br  0.500  0.500  0.500

***

## LaFeBr2 (PBE)

Data for an optimized crystal structure of LaFeBr2.

Output
**Uncorrected energy**: -4.64 eV/atom
**Calculated density**: 5.95 g/cm3
**DOS at the Fermi energy**: 3.9 states/eV/f.u.

Unit cell a=5.452 b=5.452 c=5.452 alpha=127.51 beta=127.51 gamma=77.42
Positions (direct):
La  0.000  0.000  0.000
Fe  0.500  0.500  0.000
Br  0.250  0.750  0.500
Br  0.750  0.250  0.500

***

## LaFeBr2 (PBE)

Data for an optimized crystal structure of LaFeBr2.

Output
**Uncorrected energy**: -4.63 eV/atom
**Calculated density**: 6.19 g/cm3
**DOS at the Fermi energy**: 4.0 states/eV/f.u.

Unit cell a=3.632 b=4.054 c=6.479 alpha=90.00 beta=94.75 gamma=90.00
Positions (direct):
La  0.000  0.000  0.000
Fe  0.500  0.000  0.500
Br  0.471  0.500  0.746
Br  0.529  0.500  0.254

***

Energy relative to the lowest polymorph listed for this composition for every record listed, in sequence, given in meV per atom: 258.5, 411.8, 305.0, 384.5, 187.3, 195.9.
Uncorrected formation energy for every record listed, in sequence, given in eV per atom: -0.38, -0.16, -0.27, -0.19, -0.45, -0.44.
V for every record listed, in sequence, given in Å³/cell: 109.3, 104.0, 105.3, 102.6, 98.9, 95.1.